Version a
# Tl2SI | Alexandria via LeMat-Bulk | GGA-PBE | optimized geometry
data_Tl2SI
_chemical_formula_sum 'Tl4 S2 I2'
_space_group_name_H-M_alt 'P 1'
_space_group_IT_number 1
_cell_length_a 8.109
_cell_length_b 8.109
_cell_length_c 7.325
_cell_angle_alpha 56.39
_cell_angle_beta 56.39
_cell_angle_gamma 90.00
loop_
_space_group_symop_operation_xyz
'x,y,z'
loop_
_atom_site_label
_atom_site_type_symbol
_atom_site_fract_x
_atom_site_fract_y
_atom_site_fract_z
I1 I 0.000 0.000 0.000
I2 I 0.750 0.250 0.500
Tl1 Tl 0.571 0.125 0.250
Tl2 Tl 0.179 0.625 0.250
Tl3 Tl 0.375 0.429 0.750
Tl4 Tl 0.875 0.821 0.750
S1 S 0.500 0.500 0.000
S2 S 0.250 0.750 0.500
# volume	37.5	A^3/atom
# N(E_F)	6.98	states/eV per cell

---

Version b
# Tl2SI | Alexandria via LeMat-Bulk | GGA-PBE | optimized geometry
data_Tl2SI
_chemical_formula_sum 'Tl2 S1 I1'
_space_group_name_H-M_alt 'P 1'
_space_group_IT_number 1
_cell_length_a 4.441
_cell_length_b 4.441
_cell_length_c 8.139
_cell_angle_alpha 74.17
_cell_angle_beta 74.17
_cell_angle_gamma 60.00
loop_
_space_group_symop_operation_xyz
'x,y,z'
loop_
_atom_site_label
_atom_site_type_symbol
_atom_site_fract_x
_atom_site_fract_y
_atom_site_fract_z
I1 I 0.500 0.500 0.500
Tl1 Tl 0.267 0.267 0.200
Tl2 Tl 0.733 0.733 0.800
S1 S 0.000 0.000 0.000
# volume	33.0	A^3/atom
# N(E_F)	2.99	states/eV per cell

---

Version c
# Tl2SI | Alexandria via LeMat-Bulk | GGA-PBE | optimized geometry
data_Tl2SI
_chemical_formula_sum 'Tl4 S2 I2'
_space_group_name_H-M_alt 'P 1'
_space_group_IT_number 1
_cell_length_a 5.356
_cell_length_b 4.629
_cell_length_c 11.581
_cell_angle_alpha 90.05
_cell_angle_beta 89.96
_cell_angle_gamma 90.00
loop_
_space_group_symop_operation_xyz
'x,y,z'
loop_
_atom_site_label
_atom_site_type_symbol
_atom_site_fract_x
_atom_site_fract_y
_atom_site_fract_z
Tl1 Tl 0.701 0.856 0.179
Tl2 Tl 0.701 0.360 0.753
Tl3 Tl 0.201 0.862 0.463
Tl4 Tl 0.201 0.355 0.036
S1 S 0.201 0.857 0.197
S2 S 0.701 0.357 0.019
I1 I 0.201 0.859 0.784
I2 I 0.701 0.361 0.432
# volume	35.9	A^3/atom
# N(E_F)	0.82	states/eV per cell

---

Version d
# Tl2SI | Alexandria via LeMat-Bulk | GGA-PBE | optimized geometry
data_Tl2SI
_chemical_formula_sum 'Tl2 S1 I1'
_space_group_name_H-M_alt 'P 1'
_space_group_IT_number 1
_cell_length_a 5.563
_cell_length_b 5.563
_cell_length_c 5.563
_cell_angle_alpha 60.00
_cell_angle_beta 60.00
_cell_angle_gamma 60.00
loop_
_space_group_symop_operation_xyz
'x,y,z'
loop_
_atom_site_label
_atom_site_type_symbol
_atom_site_fract_x
_atom_site_fract_y
_atom_site_fract_z
I1 I 0.500 0.500 0.500
Tl1 Tl 0.250 0.250 0.250
Tl2 Tl 0.750 0.750 0.750
S1 S 0.000 0.000 0.000
# volume	30.4	A^3/atom
# N(E_F)	3.86	states/eV per cell

---

Stability comparison, relative energies in meV per atom: version a 127; version b 58; version c 0; version d 258

---

Version a
# TlSI3 | Alexandria via LeMat-Bulk | GGA-PBE | optimized geometry
data_TlSI3
_chemical_formula_sum 'Tl1 S1 I3'
_space_group_name_H-M_alt 'P 1'
_space_group_IT_number 1
_cell_length_a 5.666
_cell_length_b 5.666
_cell_length_c 5.666
_cell_angle_alpha 90.00
_cell_angle_beta 90.00
_cell_angle_gamma 90.00
loop_
_space_group_symop_operation_xyz
'x,y,z'
loop_
_atom_site_label
_atom_site_type_symbol
_atom_site_fract_x
_atom_site_fract_y
_atom_site_fract_z
I1 I 0.000 0.500 0.000
I2 I 0.000 0.000 0.500
I3 I 0.500 0.000 0.000
Tl1 Tl 0.500 0.500 0.500
S1 S 0.000 0.000 0.000
# volume	36.4	A^3/atom
# N(E_F)	1.02	states/eV per cell

---

Version b
# TlSI3 | Alexandria via LeMat-Bulk | GGA-PBE | optimized geometry
data_TlSI3
_chemical_formula_sum 'Tl1 S1 I3'
_space_group_name_H-M_alt 'P 1'
_space_group_IT_number 1
_cell_length_a 6.072
_cell_length_b 6.072
_cell_length_c 6.072
_cell_angle_alpha 90.00
_cell_angle_beta 90.00
_cell_angle_gamma 90.00
loop_
_space_group_symop_operation_xyz
'x,y,z'
loop_
_atom_site_label
_atom_site_type_symbol
_atom_site_fract_x
_atom_site_fract_y
_atom_site_fract_z
I1 I 0.000 0.500 0.000
I2 I 0.000 0.000 0.500
I3 I 0.500 0.000 0.000
Tl1 Tl 0.000 0.000 0.000
S1 S 0.500 0.500 0.500
# volume	44.8	A^3/atom
# N(E_F)	5.07	states/eV per cell

---

Stability comparison, relative energies in meV per atom: version a 0; version b 580

---

Version a
# TlSI2 | Alexandria via LeMat-Bulk | GGA-PBE | optimized geometry
data_TlSI2
_chemical_formula_sum 'Tl2 S2 I4'
_space_group_name_H-M_alt 'P 1'
_space_group_IT_number 1
_cell_length_a 6.546
_cell_length_b 6.546
_cell_length_c 9.803
_cell_angle_alpha 70.50
_cell_angle_beta 70.50
_cell_angle_gamma 90.00
loop_
_space_group_symop_operation_xyz
'x,y,z'
loop_
_atom_site_label
_atom_site_type_symbol
_atom_site_fract_x
_atom_site_fract_y
_atom_site_fract_z
I1 I 0.517 0.125 0.250
I2 I 0.233 0.625 0.250
I3 I 0.375 0.483 0.750
I4 I 0.875 0.767 0.750
Tl1 Tl 0.000 0.000 0.000
Tl2 Tl 0.750 0.250 0.500
S1 S 0.500 0.500 0.000
S2 S 0.250 0.750 0.500
# volume	46.3	A^3/atom
# N(E_F)	1.97	states/eV per cell

---

Version b
# TlSI2 | Alexandria via LeMat-Bulk | GGA-PBE | optimized geometry
data_TlSI2
_chemical_formula_sum 'Tl1 S1 I2'
_space_group_name_H-M_alt 'P 1'
_space_group_IT_number 1
_cell_length_a 5.770
_cell_length_b 5.770
_cell_length_c 5.770
_cell_angle_alpha 60.00
_cell_angle_beta 60.00
_cell_angle_gamma 60.00
loop_
_space_group_symop_operation_xyz
'x,y,z'
loop_
_atom_site_label
_atom_site_type_symbol
_atom_site_fract_x
_atom_site_fract_y
_atom_site_fract_z
I1 I 0.250 0.250 0.250
I2 I 0.750 0.750 0.750
Tl1 Tl 0.500 0.500 0.500
S1 S 0.000 0.000 0.000
# volume	34.0	A^3/atom
# N(E_F)	2.12	states/eV per cell

---

Stability comparison, relative energies in meV per atom: version a 0; version b 235

---

Version a
# Tl4SI2 | Alexandria via LeMat-Bulk | GGA-PBE | optimized geometry
data_Tl4SI2
_chemical_formula_sum 'Tl4 S1 I2'
_space_group_name_H-M_alt 'P 1'
_space_group_IT_number 1
_cell_length_a 5.997
_cell_length_b 5.997
_cell_length_c 9.905
_cell_angle_alpha 72.38
_cell_angle_beta 72.38
_cell_angle_gamma 90.00
loop_
_space_group_symop_operation_xyz
'x,y,z'
loop_
_atom_site_label
_atom_site_type_symbol
_atom_site_fract_x
_atom_site_fract_y
_atom_site_fract_z
I1 I 0.628 0.628 0.744
I2 I 0.372 0.372 0.256
Tl1 Tl 0.842 0.842 0.316
Tl2 Tl 0.158 0.158 0.684
Tl3 Tl 0.000 0.500 0.000
Tl4 Tl 0.500 0.000 0.000
S1 S 0.000 0.000 0.000
# volume	46.0	A^3/atom
# N(E_F)	0.84	states/eV per cell

---

Version b
# Tl4SI2 | Alexandria via LeMat-Bulk | GGA-PBE | optimized geometry
data_Tl4SI2
_chemical_formula_sum 'Tl4 S1 I2'
_space_group_name_H-M_alt 'P 1'
_space_group_IT_number 1
_cell_length_a 4.537
_cell_length_b 9.483
_cell_length_c 10.070
_cell_angle_alpha 139.24
_cell_angle_beta 103.02
_cell_angle_gamma 90.00
loop_
_space_group_symop_operation_xyz
'x,y,z'
loop_
_atom_site_label
_atom_site_type_symbol
_atom_site_fract_x
_atom_site_fract_y
_atom_site_fract_z
Tl1 Tl 0.951 0.235 0.902
Tl2 Tl 0.049 0.765 0.098
Tl3 Tl 0.658 0.278 0.317
Tl4 Tl 0.342 0.722 0.683
S1 S 0.000 0.000 0.000
I1 I 0.657 0.646 0.314
I2 I 0.343 0.354 0.686
# volume	37.9	A^3/atom

---

Stability comparison, relative energies in meV per atom: version a 93; version b 0

---

Version a
# USI3 | Alexandria via LeMat-Bulk | GGA-PBE | optimized geometry
data_USI3
_chemical_formula_sum 'U4 S4 I12'
_space_group_name_H-M_alt 'P 1'
_space_group_IT_number 1
_cell_length_a 11.911
_cell_length_b 9.219
_cell_length_c 13.246
_cell_angle_alpha 99.34
_cell_angle_beta 90.00
_cell_angle_gamma 90.00
loop_
_space_group_symop_operation_xyz
'x,y,z'
loop_
_atom_site_label
_atom_site_type_symbol
_atom_site_fract_x
_atom_site_fract_y
_atom_site_fract_z
U1 U 0.865 0.919 0.877
U2 U 0.135 0.919 0.377
U3 U 0.865 0.081 0.623
U4 U 0.135 0.081 0.123
S1 S 0.872 0.833 0.685
S2 S 0.872 0.167 0.815
S3 S 0.128 0.833 0.185
S4 S 0.128 0.167 0.315
I1 I 0.877 0.376 0.577
I2 I 0.123 0.376 0.077
I3 I 0.375 0.079 0.106
I4 I 0.125 0.933 0.896
I5 I 0.625 0.079 0.606
I6 I 0.123 0.624 0.423
I7 I 0.125 0.067 0.604
I8 I 0.375 0.921 0.394
I9 I 0.875 0.067 0.104
I10 I 0.625 0.921 0.894
I11 I 0.877 0.624 0.923
I12 I 0.875 0.933 0.396
# volume	71.8	A^3/atom
# N(E_F)	15.68	states/eV per cell

---

Version b
# USI3 | Alexandria via LeMat-Bulk | GGA-PBE | optimized geometry
data_USI3
_chemical_formula_sum 'U2 S2 I6'
_space_group_name_H-M_alt 'P 1'
_space_group_IT_number 1
_cell_length_a 8.956
_cell_length_b 8.956
_cell_length_c 8.956
_cell_angle_alpha 88.20
_cell_angle_beta 117.94
_cell_angle_gamma 124.26
loop_
_space_group_symop_operation_xyz
'x,y,z'
loop_
_atom_site_label
_atom_site_type_symbol
_atom_site_fract_x
_atom_site_fract_y
_atom_site_fract_z
U1 U 0.532 0.032 0.000
U2 U 0.032 0.532 0.000
S1 S 0.441 0.782 0.159
S2 S 0.623 0.282 0.841
I1 I 0.032 0.307 0.776
I2 I 0.032 0.756 0.225
I3 I 0.532 0.807 0.775
I4 I 0.026 0.282 0.244
I5 I 0.532 0.256 0.224
I6 I 0.038 0.782 0.756
# volume	49.7	A^3/atom
# N(E_F)	9.59	states/eV per cell

---

Stability comparison, relative energies in meV per atom: version a 0; version b 16

---

Version a
# V3SI | Alexandria via LeMat-Bulk | GGA-PBE | optimized geometry
data_V3SI
_chemical_formula_sum 'V3 S1 I1'
_space_group_name_H-M_alt 'P 1'
_space_group_IT_number 1
_cell_length_a 4.412
_cell_length_b 4.412
_cell_length_c 4.412
_cell_angle_alpha 90.00
_cell_angle_beta 90.00
_cell_angle_gamma 90.00
loop_
_space_group_symop_operation_xyz
'x,y,z'
loop_
_atom_site_label
_atom_site_type_symbol
_atom_site_fract_x
_atom_site_fract_y
_atom_site_fract_z
I1 I 0.500 0.500 0.500
S1 S 0.000 0.000 0.000
V1 V 0.000 0.500 0.000
V2 V 0.000 0.000 0.500
V3 V 0.500 0.000 0.000
# volume	17.2	A^3/atom
# N(E_F)	6.99	states/eV per cell

---

Version b
# V3SI | Alexandria via LeMat-Bulk | GGA-PBE | optimized geometry
data_V3SI
_chemical_formula_sum 'V3 S1 I1'
_space_group_name_H-M_alt 'P 1'
_space_group_IT_number 1
_cell_length_a 5.148
_cell_length_b 5.148
_cell_length_c 5.148
_cell_angle_alpha 90.00
_cell_angle_beta 90.00
_cell_angle_gamma 90.00
loop_
_space_group_symop_operation_xyz
'x,y,z'
loop_
_atom_site_label
_atom_site_type_symbol
_atom_site_fract_x
_atom_site_fract_y
_atom_site_fract_z
I1 I 0.000 0.000 0.000
S1 S 0.500 0.500 0.500
V1 V 0.000 0.500 0.000
V2 V 0.000 0.000 0.500
V3 V 0.500 0.000 0.000
# volume	27.3	A^3/atom
# N(E_F)	12.38	states/eV per cell

---

Stability comparison, relative energies in meV per atom: version a 0; version b 1222

---

Version a
# WSI2 | Alexandria via LeMat-Bulk | GGA-PBE | optimized geometry
data_WSI2
_chemical_formula_sum 'W1 S1 I2'
_space_group_name_H-M_alt 'P 1'
_space_group_IT_number 1
_cell_length_a 4.935
_cell_length_b 4.935
_cell_length_c 4.935
_cell_angle_alpha 60.00
_cell_angle_beta 60.00
_cell_angle_gamma 60.00
loop_
_space_group_symop_operation_xyz
'x,y,z'
loop_
_atom_site_label
_atom_site_type_symbol
_atom_site_fract_x
_atom_site_fract_y
_atom_site_fract_z
I1 I 0.250 0.250 0.250
I2 I 0.750 0.750 0.750
S1 S 0.000 0.000 0.000
W1 W 0.500 0.500 0.500
# volume	21.2	A^3/atom
# N(E_F)	4.61	states/eV per cell

---

Version b
# WSI2 | Alexandria via LeMat-Bulk | GGA-PBE | optimized geometry
data_WSI2
_chemical_formula_sum 'W2 S2 I4'
_space_group_name_H-M_alt 'P 1'
_space_group_IT_number 1
_cell_length_a 7.210
_cell_length_b 7.210
_cell_length_c 6.963
_cell_angle_alpha 58.82
_cell_angle_beta 58.82
_cell_angle_gamma 90.00
loop_
_space_group_symop_operation_xyz
'x,y,z'
loop_
_atom_site_label
_atom_site_type_symbol
_atom_site_fract_x
_atom_site_fract_y
_atom_site_fract_z
I1 I 0.671 0.125 0.250
I2 I 0.079 0.625 0.250
I3 I 0.375 0.329 0.750
I4 I 0.875 0.921 0.750
S1 S 0.500 0.500 0.000
S2 S 0.250 0.750 0.500
W1 W 0.000 0.000 0.000
W2 W 0.750 0.250 0.500
# volume	30.8	A^3/atom
# N(E_F)	11.83	states/eV per cell

---

Stability comparison, relative energies in meV per atom: version a 74; version b 0

---

Version a
# W2SI | Alexandria via LeMat-Bulk | GGA-PBE | optimized geometry
data_W2SI
_chemical_formula_sum 'W2 S1 I1'
_space_group_name_H-M_alt 'P 1'
_space_group_IT_number 1
_cell_length_a 4.538
_cell_length_b 4.538
_cell_length_c 4.538
_cell_angle_alpha 60.00
_cell_angle_beta 60.00
_cell_angle_gamma 60.00
loop_
_space_group_symop_operation_xyz
'x,y,z'
loop_
_atom_site_label
_atom_site_type_symbol
_atom_site_fract_x
_atom_site_fract_y
_atom_site_fract_z
I1 I 0.500 0.500 0.500
S1 S 0.000 0.000 0.000
W1 W 0.250 0.250 0.250
W2 W 0.750 0.750 0.750
# volume	16.5	A^3/atom
# N(E_F)	2.93	states/eV per cell

---

Version b
# W2SI | Alexandria via LeMat-Bulk | GGA-PBE | optimized geometry
data_W2SI
_chemical_formula_sum 'W4 S2 I2'
_space_group_name_H-M_alt 'P 1'
_space_group_IT_number 1
_cell_length_a 4.523
_cell_length_b 4.523
_cell_length_c 8.594
_cell_angle_alpha 74.74
_cell_angle_beta 74.74
_cell_angle_gamma 90.00
loop_
_space_group_symop_operation_xyz
'x,y,z'
loop_
_atom_site_label
_atom_site_type_symbol
_atom_site_fract_x
_atom_site_fract_y
_atom_site_fract_z
I1 I 0.000 0.000 0.000
I2 I 0.750 0.250 0.500
S1 S 0.500 0.500 0.000
S2 S 0.250 0.750 0.500
W1 W 0.542 0.125 0.250
W2 W 0.208 0.625 0.250
W3 W 0.375 0.458 0.750
W4 W 0.875 0.792 0.750
# volume	20.4	A^3/atom
# N(E_F)	5.51	states/eV per cell

---

Stability comparison, relative energies in meV per atom: version a 351; version b 0